1.
12
Lattice="5.834 0.000 0.000 -2.917 5.052 0.000 0.000 0.000 8.144" Properties=species:S:1:pos:R:3 comment="PBE+U RbPmMn2O8, optimized geometry" total_energy_ev_per_atom=-6.461 pbc="T T T"
O 2.917 1.684 0.402
O 2.906 3.262 2.596
O 4.289 0.904 2.596
O 1.361 4.166 5.549
O -1.372 4.148 5.549
O 0.011 1.790 5.549
O 1.556 0.886 2.596
O 0.000 3.368 7.743
Rb 0.000 0.000 0.000
Mn 0.000 3.368 6.118
Mn 2.917 1.684 2.027
Pm 0.000 0.000 4.072

2.
12
Lattice="4.688 -0.291 0.033 -0.271 5.131 0.159 0.083 0.242 6.915" Properties=species:S:1:pos:R:3 comment="PBE+U Pm2MnReO8, optimized geometry" total_energy_ev_per_atom=-8.053 pbc="T T T"
O 3.228 3.538 3.750
O 0.550 4.713 5.357
O 4.050 1.366 5.965
O 2.982 4.025 6.824
O 1.273 1.545 3.357
O 0.451 3.716 1.143
O 3.950 0.369 1.750
O 1.519 1.058 0.283
Re 0.000 0.000 0.000
Mn 0.042 0.121 3.457
Pm 2.756 2.405 1.817
Pm 1.745 2.677 5.291

3.
18
Lattice="5.582 0.000 0.000 -2.791 4.834 0.000 0.000 0.000 8.815" Properties=species:S:1:pos:R:3 comment="PBE+U PmMnReO6, optimized geometry" total_energy_ev_per_atom=-8.099 pbc="T T T"
Re 0.000 3.223 6.611
Re 2.791 1.611 2.204
O 3.510 3.016 3.274
O 1.576 3.302 5.542
O 1.215 1.532 3.274
O 0.857 4.548 7.681
O 1.934 0.286 1.134
O -0.719 1.818 5.542
O 0.719 1.818 7.681
O 2.072 3.016 1.134
O -0.857 4.548 5.542
O 3.648 0.286 3.274
O 4.367 1.532 1.134
O -1.576 3.302 7.681
Mn 0.000 0.000 0.000
Mn 0.000 0.000 4.408
Pm 2.791 1.611 6.611
Pm 0.000 3.223 2.204